Version w
A relaxed structure of ScPa2Al, computed with GGA-PBE.

Unit cell a=11.2562 b=11.2562 c=11.2562 alpha=15.74 beta=15.74 gamma=15.74
Element x y z (fractional)
Sc1 0.0000 0.0000 0.0000
Pa1 0.0882 0.0882 0.0882
Pa2 0.9118 0.9118 0.9118
Al1 0.5000 0.5000 0.5000

=====

Version x
A relaxed structure of ScPa2Al, computed with GGA-PBE.

Unit cell a=4.3113 b=4.3113 c=4.8408 alpha=90.00 beta=90.00 gamma=90.00
Element x y z (fractional)
Sc1 0.0000 0.0000 0.0000
Pa1 0.0000 0.5000 0.5000
Pa2 0.5000 0.0000 0.5000
Al1 0.5000 0.5000 0.0000

=====

Stability ranking, top and bottom: version x is the most stable and version w is the least stable.

=====

Version w
A relaxed structure of Pa2AlSe6, computed with GGA-PBE.

Unit cell a=6.4137 b=6.4137 c=12.4338 alpha=90.00 beta=90.00 gamma=90.00
Element x y z (fractional)
Pa1 0.0000 0.0000 0.1652
Pa2 0.0000 0.0000 0.8348
Pa3 0.5000 0.5000 0.3348
Pa4 0.5000 0.5000 0.6652
Al1 0.0000 0.0000 0.5000
Al2 0.5000 0.5000 0.0000
Se1 0.1903 0.1903 0.3438
Se2 0.1903 0.1903 0.6562
Se3 0.2068 0.2068 0.0000
Se4 0.2932 0.7068 0.5000
Se5 0.3097 0.6903 0.1562
Se6 0.3097 0.6903 0.8438
Se7 0.6903 0.3097 0.1562
Se8 0.6903 0.3097 0.8438
Se9 0.7068 0.2932 0.5000
Se10 0.7932 0.7932 0.0000
Se11 0.8097 0.8097 0.3438
Se12 0.8097 0.8097 0.6562

=====

Version x
A relaxed structure of Pa2AlSe6, computed with GGA-PBE.

Unit cell a=6.4133 b=7.3013 c=11.1985 alpha=90.00 beta=124.81 gamma=90.00
Element x y z (fractional)
Pa1 0.1998 0.1290 0.2536
Pa2 0.1998 0.3710 0.7536
Pa3 0.8002 0.6290 0.2464
Pa4 0.8002 0.8710 0.7464
Al1 0.5000 0.0000 0.0000
Al2 0.5000 0.5000 0.5000
Se1 0.1017 0.1692 0.9406
Se2 0.1017 0.3308 0.4406
Se3 0.2810 0.6803 0.9424
Se4 0.2810 0.8197 0.4424
Se5 0.3871 0.0314 0.7449
Se6 0.3871 0.4686 0.2449
Se7 0.6129 0.5314 0.7551
Se8 0.6129 0.9686 0.2551
Se9 0.7190 0.1803 0.5576
Se10 0.7190 0.3197 0.0576
Se11 0.8983 0.6692 0.5594
Se12 0.8983 0.8308 0.0594

=====

Stability ranking, top and bottom: version x is the most stable and version w is the least stable.

=====

Version w
A relaxed structure of PaAl2Si, computed with GGA-PBE.

Unit cell a=5.5594 b=5.5594 c=5.5594 alpha=137.43 beta=137.05 gamma=62.07
Element x y z (fractional)
Pa1 0.0000 0.0000 0.0000
Al1 0.2511 0.7511 0.5000
Al2 0.7489 0.2489 0.5000
Si1 0.5000 0.5000 0.0000

=====

Version x
A relaxed structure of PaAl2Si, computed with GGA-PBE.

Unit cell a=5.4913 b=5.4913 c=5.4913 alpha=45.99 beta=45.99 gamma=45.99
Element x y z (fractional)
Pa1 0.0000 0.0000 0.0000
Al1 0.2115 0.2115 0.2115
Al2 0.7885 0.7885 0.7885
Si1 0.5000 0.5000 0.5000

=====

Version y
A relaxed structure of PaAl2Si, computed with GGA-PBE.

Unit cell a=4.1433 b=4.1433 c=4.4267 alpha=90.00 beta=90.00 gamma=90.00
Element x y z (fractional)
Pa1 0.0000 0.0000 0.0000
Al1 0.0000 0.5000 0.5000
Al2 0.5000 0.0000 0.5000
Si1 0.5000 0.5000 0.0000

=====

Stability ranking, top and bottom: version y is the most stable and version x is the least stable.

=====

Version w
A relaxed structure of Sm2PaAl, computed with GGA-PBE.

Unit cell a=5.3155 b=5.3155 c=5.3155 alpha=60.00 beta=60.00 gamma=60.00
Element x y z (fractional)
Sm1 0.2500 0.2500 0.2500
Sm2 0.7500 0.7500 0.7500
Pa1 0.0000 0.0000 0.0000
Al1 0.5000 0.5000 0.5000

=====

Version x
A relaxed structure of Sm2PaAl, computed with GGA-PBE.

Unit cell a=4.8041 b=4.8041 c=4.5828 alpha=90.00 beta=90.00 gamma=90.00
Element x y z (fractional)
Sm1 0.0000 0.5000 0.0000
Sm2 0.5000 0.0000 0.0000
Pa1 0.0000 0.0000 0.5000
Al1 0.5000 0.5000 0.5000

=====

Stability ranking, top and bottom: version x is the most stable and version w is the least stable.

=====

Version w
A relaxed structure of SmPa2Al, computed with GGA-PBE.

Unit cell a=4.4384 b=4.4384 c=5.0138 alpha=90.00 beta=90.00 gamma=90.00
Element x y z (fractional)
Sm1 0.0000 0.0000 0.0000
Pa1 0.0000 0.5000 0.5000
Pa2 0.5000 0.0000 0.5000
Al1 0.5000 0.5000 0.0000

=====

Version x
A relaxed structure of SmPa2Al, computed with GGA-PBE.

Unit cell a=11.7533 b=11.7533 c=11.7533 alpha=15.41 beta=15.41 gamma=15.41
Element x y z (fractional)
Sm1 0.0000 0.0000 0.0000
Pa1 0.0924 0.0924 0.0924
Pa2 0.9076 0.9076 0.9076
Al1 0.5000 0.5000 0.5000

=====

Stability ranking, top and bottom: version w is the most stable and version x is the least stable.

=====

Version w
A relaxed structure of SmPaAl, computed with GGA-PBE.

Unit cell a=5.5658 b=5.5658 c=5.8613 alpha=90.00 beta=90.00 gamma=90.00
Element x y z (fractional)
Sm1 0.0000 0.0000 0.0000
Sm2 0.0000 0.0000 0.5000
Pa1 0.0000 0.5000 0.0000
Pa2 0.5000 0.0000 0.5000
Al1 0.5000 0.5000 0.2500
Al2 0.5000 0.5000 0.7500

=====

Version x
A relaxed structure of SmPaAl, computed with GGA-PBE.

Unit cell a=7.5651 b=7.5651 c=7.5651 alpha=155.43 beta=155.43 gamma=35.02
Element x y z (fractional)
Sm1 0.0000 0.0000 0.0000
Pa1 0.3055 0.3055 0.0000
Al1 0.6581 0.6581 0.0000

=====

Stability ranking, top and bottom: version x is the most stable and version w is the least stable.